[1]
# BaSrO2F GGA-PBEsol relaxed
# * Fermi-level density of states: 0.2 states/eV/cell
# * raw formation energy: -2.009 eV per atom
data_BaSrO2F
_chemical_formula_sum 'Ba1 Sr1 O2 F1'
_cell_length_a 4.7614
_cell_length_b 4.7614
_cell_length_c 4.8014
_cell_angle_alpha 90.00
_cell_angle_beta 90.00
_cell_angle_gamma 90.00
_space_group_name_H-M_alt 'P 4/m m m'
_space_group_IT_number 123
_space_group_name_Hall '-P 4 2'
loop_
_atom_site_label
_atom_site_type_symbol
_atom_site_fract_x
_atom_site_fract_y
_atom_site_fract_z
Ba1 Ba 0.0000 0.0000 0.0000
Sr1 Sr 0.5000 0.5000 0.5000
O1 O 0.0000 0.5000 0.0000
F1 F 0.0000 0.0000 0.5000

[2]
# Pa3Sb GGA-PBEsol relaxed
# * Fermi-level density of states: 8.6 states/eV/cell
# * raw formation energy: -0.369 eV per atom
data_Pa3Sb
_chemical_formula_sum 'Pa3 Sb1'
_cell_length_a 4.5369
_cell_length_b 4.5369
_cell_length_c 4.5369
_cell_angle_alpha 90.00
_cell_angle_beta 90.00
_cell_angle_gamma 90.00
_space_group_name_H-M_alt 'P m -3 m'
_space_group_IT_number 221
_space_group_name_Hall '-P 4 2 3'
loop_
_atom_site_label
_atom_site_type_symbol
_atom_site_fract_x
_atom_site_fract_y
_atom_site_fract_z
Pa1 Pa 0.0000 0.0000 0.5000
Sb1 Sb 0.5000 0.5000 0.5000

[3]
# TaTcIr2 GGA-PBEsol relaxed
# * energy of formation from the pure elements: -0.5178 eV/atom
# * Fermi-level density of states: 3.0 states/eV/cell
data_TaTcIr2
_chemical_formula_sum 'Ta1 Tc1 Ir2'
_cell_length_a 3.8928
_cell_length_b 3.8928
_cell_length_c 3.8780
_cell_angle_alpha 90.00
_cell_angle_beta 90.00
_cell_angle_gamma 90.00
_space_group_name_H-M_alt 'P 4/m m m'
_space_group_IT_number 123
_space_group_name_Hall '-P 4 2'
loop_
_atom_site_label
_atom_site_type_symbol
_atom_site_fract_x
_atom_site_fract_y
_atom_site_fract_z
Ta1 Ta 0.0000 0.0000 0.0000
Tc1 Tc 0.5000 0.5000 0.0000
Ir1 Ir 0.0000 0.5000 0.5000

[4]
# TlRuW3 GGA-PBEsol relaxed
# * energy of formation from the pure elements: 1.9493 eV/atom
# * Fermi-level density of states: 4.7 states/eV/cell
data_TlRuW3
_chemical_formula_sum 'Tl1 Ru1 W3'
_cell_length_a 4.6771
_cell_length_b 4.6771
_cell_length_c 4.6771
_cell_angle_alpha 90.00
_cell_angle_beta 90.00
_cell_angle_gamma 90.00
_space_group_name_H-M_alt 'P m -3 m'
_space_group_IT_number 221
_space_group_name_Hall '-P 4 2 3'
loop_
_atom_site_label
_atom_site_type_symbol
_atom_site_fract_x
_atom_site_fract_y
_atom_site_fract_z
Tl1 Tl 0.0000 0.0000 0.0000
Ru1 Ru 0.5000 0.5000 0.5000
W1 W 0.0000 0.5000 0.5000

[5]
# Fe2CoNi GGA-PBEsol relaxed
# * energy of formation from the pure elements: 0.0221 eV/atom
# * Fermi-level density of states: 4.6 states/eV/cell
data_Fe2CoNi
_chemical_formula_sum 'Fe2 Co1 Ni1'
_cell_length_a 2.4819
_cell_length_b 3.4700
_cell_length_c 4.9952
_cell_angle_alpha 90.00
_cell_angle_beta 90.00
_cell_angle_gamma 90.00
_space_group_name_H-M_alt 'P m m m'
_space_group_IT_number 47
loop_
_space_group_symop_operation_xyz
'x,y,z'
'-x,-y,-z'
'-x,-y,z'
'x,y,-z'
'x,-y,-z'
'-x,y,z'
'-x,y,-z'
'x,-y,z'
loop_
_atom_site_label
_atom_site_type_symbol
_atom_site_fract_x
_atom_site_fract_y
_atom_site_fract_z
Fe1 Fe 0.0000 0.0000 0.2487
Co1 Co 0.5000 0.5000 0.0000
Ni1 Ni 0.5000 0.5000 0.5000

[6]
# Li3FeOF4 GGA-PBEsol relaxed
# * Fermi-level density of states: 6.1 states/eV/cell
# * raw formation energy: -2.439 eV per atom
data_Li3FeOF4
_chemical_formula_sum 'Li6 Fe2 O2 F8'
_cell_length_a 9.5495
_cell_length_b 3.6958
_cell_length_c 6.6636
_cell_angle_alpha 90.00
_cell_angle_beta 132.81
_cell_angle_gamma 90.00
_space_group_name_H-M_alt 'C 1 m 1'
_space_group_IT_number 8
loop_
_space_group_symop_operation_xyz
'x,y,z'
'x,-y,z'
'x+1/2,y+1/2,z'
'x+1/2,-y+1/2,z'
loop_
_atom_site_label
_atom_site_type_symbol
_atom_site_fract_x
_atom_site_fract_y
_atom_site_fract_z
Li1 Li 0.0000 0.0000 0.0000
Li2 Li 0.0301 0.5000 0.7141
Li3 Li 0.1720 0.0000 0.5321
Fe1 Fe 0.3636 0.0000 0.1554
O1 O 0.3749 0.5000 0.1520
F1 F 0.0863 0.0000 0.8078
F2 F 0.1246 0.5000 0.5293
F3 F 0.2665 0.0000 0.3491
F4 F 0.4248 0.0000 0.9062

[7]
# LiHgAs2 GGA-PBEsol relaxed
# * energy of formation from the pure elements: -0.1465 eV/atom
# * Fermi-level density of states: 2.0 states/eV/cell
data_LiHgAs2
_chemical_formula_sum 'Li2 Hg2 As4'
_cell_length_a 9.4244
_cell_length_b 3.5465
_cell_length_c 4.9122
_cell_angle_alpha 90.00
_cell_angle_beta 100.13
_cell_angle_gamma 90.00
_space_group_name_H-M_alt 'C 1 2/m 1'
_space_group_IT_number 12
loop_
_space_group_symop_operation_xyz
'x,y,z'
'-x,-y,-z'
'-x,y,-z'
'x,-y,z'
'x+1/2,y+1/2,z'
'-x+1/2,-y+1/2,-z'
'-x+1/2,y+1/2,-z'
'x+1/2,-y+1/2,z'
loop_
_atom_site_label
_atom_site_type_symbol
_atom_site_fract_x
_atom_site_fract_y
_atom_site_fract_z
Li1 Li 0.0000 0.0000 0.0000
Hg1 Hg 0.0000 0.5000 0.5000
As1 As 0.2495 0.5000 0.1809

[8]
# MnCd2As GGA-PBEsol relaxed
# * energy of formation from the pure elements: 0.2304 eV/atom
# * Fermi-level density of states: 3.5 states/eV/cell
data_MnCd2As
_chemical_formula_sum 'Mn2 Cd4 As2'
_cell_length_a 3.9013
_cell_length_b 3.9120
_cell_length_c 9.4296
_cell_angle_alpha 90.00
_cell_angle_beta 90.00
_cell_angle_gamma 90.00
_space_group_name_H-M_alt 'I m m m'
_space_group_IT_number 71
_space_group_name_Hall '-I 2 2'
loop_
_atom_site_label
_atom_site_type_symbol
_atom_site_fract_x
_atom_site_fract_y
_atom_site_fract_z
Mn1 Mn 0.0000 0.0000 0.0000
Cd1 Cd 0.0000 0.5000 0.2499
As1 As 0.0000 0.0000 0.5000

[9]
# LaSbW2 GGA-PBEsol relaxed
# * Fermi-level density of states: 5.9 states/eV/cell
# * raw formation energy: 0.687 eV per atom
data_LaSbW2
_chemical_formula_sum 'La2 Sb2 W4'
_cell_length_a 4.6496
_cell_length_b 4.6496
_cell_length_c 7.5115
_cell_angle_alpha 90.00
_cell_angle_beta 90.00
_cell_angle_gamma 90.00
_space_group_name_H-M_alt 'I -4 m 2'
_space_group_IT_number 119
_space_group_name_Hall 'I -4 -2'
loop_
_atom_site_label
_atom_site_type_symbol
_atom_site_fract_x
_atom_site_fract_y
_atom_site_fract_z
La1 La 0.0000 0.0000 0.0000
Sb1 Sb 0.0000 0.5000 0.2500
W1 W 0.0000 0.0000 0.5000
W2 W 0.0000 0.5000 0.7500

[10]
# ScTc2Sb GGA-PBEsol relaxed
# * Fermi-level density of states: 2.7 states/eV/cell
# * raw formation energy: -0.125 eV per atom
data_ScTc2Sb
_chemical_formula_sum 'Sc1 Tc2 Sb1'
_cell_length_a 3.0384
_cell_length_b 3.0384
_cell_length_c 7.6399
_cell_angle_alpha 90.00
_cell_angle_beta 90.00
_cell_angle_gamma 90.00
_space_group_name_H-M_alt 'P 4 m m'
_space_group_IT_number 99
loop_
_space_group_symop_operation_xyz
'x,y,z'
'-y,x,z'
'-x,-y,z'
'y,-x,z'
'-x,y,z'
'y,x,z'
'x,-y,z'
'-y,-x,z'
loop_
_atom_site_label
_atom_site_type_symbol
_atom_site_fract_x
_atom_site_fract_y
_atom_site_fract_z
Sc1 Sc 0.0000 0.0000 0.0000
Tc1 Tc 0.0000 0.0000 0.4348
Tc2 Tc 0.5000 0.5000 0.2407
Sb1 Sb 0.5000 0.5000 0.6770

[11]
# TcP2PtCl GGA-PBEsol relaxed
# * Fermi-level density of states: 3.0 states/eV/cell
# * raw formation energy: 1.152 eV per atom
data_TcP2PtCl
_chemical_formula_sum 'Tc1 P2 Pt1 Cl1'
_cell_length_a 4.6171
_cell_length_b 4.6171
_cell_length_c 4.7179
_cell_angle_alpha 90.00
_cell_angle_beta 90.00
_cell_angle_gamma 90.00
_space_group_name_H-M_alt 'P 4/m m m'
_space_group_IT_number 123
_space_group_name_Hall '-P 4 2'
loop_
_atom_site_label
_atom_site_type_symbol
_atom_site_fract_x
_atom_site_fract_y
_atom_site_fract_z
Tc1 Tc 0.0000 0.0000 0.0000
P1 P 0.0000 0.5000 0.5000
Pt1 Pt 0.5000 0.5000 0.5000
Cl1 Cl 0.5000 0.5000 0.0000

[12]
# YCl GGA-PBEsol relaxed
# * Fermi-level density of states: 7.3 states/eV/cell
# * raw formation energy: -1.506 eV per atom
data_YCl
_chemical_formula_sum 'Y6 Cl6'
_cell_length_a 3.6870
_cell_length_b 3.6870
_cell_length_c 28.5643
_cell_angle_alpha 90.00
_cell_angle_beta 90.00
_cell_angle_gamma 120.00
_space_group_name_H-M_alt 'R -3 m'
_space_group_IT_number 166
_space_group_name_Hall '-R 3 2"'
loop_
_atom_site_label
_atom_site_type_symbol
_atom_site_fract_x
_atom_site_fract_y
_atom_site_fract_z
Y1 Y 0.0000 0.0000 0.2152
Cl1 Cl 0.0000 0.0000 0.3914

For reference, M_tot by record: 0.000 0.000 0.000 0.001 7.178 8.189 0.000 6.980 0.000 0.000 3.030 4.526 μB/cell.